Record 1
The following is a PBE calculation of a relaxed structure of Ac3Sn2HgAu6, from Alexandria.

Values from the calculation:
VASP energy: -3.884 eV/atom
calculated formation energy: -526 meV/atom

Lattice parameters (Å, degrees): 6.4638 6.4638 8.9859 90.00 90.00 120.00
Closest atoms and distances in Å follow each position.
Sites, in units of the cell vectors:
Au 0.1798 0.8202 0.2819  1 Hg 2.81, 1 Sn 2.81, 2 Au 2.98
Au 0.8202 0.6404 0.7181  1 Hg 2.81, 1 Sn 2.81, 2 Au 2.98
Au 0.3596 0.1798 0.7181  1 Hg 2.81, 1 Sn 2.81, 2 Au 2.98
Au 0.6404 0.8202 0.2819  1 Hg 2.81, 1 Sn 2.81, 2 Au 2.98
Au 0.1798 0.3596 0.2819  1 Hg 2.81, 1 Sn 2.81, 2 Au 2.98
Au 0.8202 0.1798 0.7181  1 Hg 2.81, 1 Sn 2.81, 2 Au 2.98
Ac 0.3333 0.6667 0.6316  9 Au 3.33-3.58, 1 Sn 3.62
Ac 0.6667 0.3333 0.3684  9 Au 3.33-3.58, 1 Sn 3.62
Ac 0.0000 0.0000 0.0000  6 Au 3.24
Hg 0.0000 0.0000 0.5000  6 Au 2.81
Sn 0.6667 0.3333 0.9658  3 Au 2.81
Sn 0.3333 0.6667 0.0342  3 Au 2.81



Record 2
The following is a PBE calculation of a relaxed structure of HoMgPd5, from Alexandria.

Values from the calculation:
VASP energy: -5.173 eV/atom
calculated formation energy: -582 meV/atom

Lattice parameters (Å, degrees): 4.1236 4.1236 7.3784 90.00 90.00 90.00
Closest atoms and distances in Å follow each position.
Sites, in units of the cell vectors:
Mg 0.5000 0.5000 0.0000  8 Pd 2.65
Pd 0.5000 0.5000 0.5000  8 Pd 2.89, 4 Ho 2.92
Pd 0.5000 0.0000 0.7747  2 Mg 2.65, 2 Ho 2.89, 6 Pd 2.89-2.92
Pd 0.0000 0.5000 0.2253  2 Mg 2.65, 6 Pd 2.89-2.92, 2 Ho 2.89
Pd 0.0000 0.5000 0.7747  2 Mg 2.65, 6 Pd 2.89-2.92, 2 Ho 2.89
Pd 0.5000 0.0000 0.2253  2 Mg 2.65, 2 Ho 2.89, 6 Pd 2.89-2.92
Ho 0.0000 0.0000 0.5000  12 Pd 2.89-2.92



Record 3
The following is a PBE calculation of a relaxed structure of Zr2TaHg, from Alexandria.

Values from the calculation:
VASP energy: -6.727 eV/atom
calculated formation energy: 585 meV/atom

Lattice parameters (Å, degrees): 4.1650 4.1650 10.7329 78.81 78.81 90.00
Closest atoms and distances in Å follow each position.
Sites, in units of the cell vectors:
Ta 0.5000 0.5000 0.0000  4 Hg 2.95, 4 Zr 2.96
Ta 0.2500 0.7500 0.5000  4 Hg 2.95, 4 Zr 2.96
Hg 0.7500 0.2500 0.5000  4 Ta 2.95, 4 Zr 2.98
Hg 0.0000 0.0000 0.0000  4 Ta 2.95, 4 Zr 2.98
Zr 0.8750 0.8673 0.7500  4 Zr 2.90-2.99, 2 Ta 2.96, 2 Hg 2.98
Zr 0.1327 0.6250 0.2500  4 Zr 2.90-2.99, 2 Ta 2.96, 2 Hg 2.98
Zr 0.3750 0.3827 0.7500  4 Zr 2.90-2.99, 2 Ta 2.96, 2 Hg 2.98
Zr 0.6173 0.1250 0.2500  4 Zr 2.90-2.99, 2 Ta 2.96, 2 Hg 2.98



Record 4
The following is a PBE calculation of a relaxed structure of Tl2TcBi, from Alexandria.

Values from the calculation:
VASP energy: -3.866 eV/atom
calculated formation energy: 879 meV/atom
distance to the lowest polymorph of the same formula: 127 meV per atom

Lattice parameters (Å, degrees): 5.1591 5.1591 5.1591 60.00 60.00 60.00
Closest atoms and distances in Å follow each position.
Sites, in units of the cell vectors:
Tc 0.0000 0.0000 0.0000  8 Tl 3.16
Tl 0.2500 0.2500 0.2500  4 Bi 3.16, 4 Tc 3.16
Tl 0.7500 0.7500 0.7500  4 Tc 3.16, 4 Bi 3.16
Bi 0.5000 0.5000 0.5000  8 Tl 3.16



Record 5
The following is a PBE calculation of a relaxed structure of PmMgCd, from Alexandria.

Values from the calculation:
VASP energy: -2.459 eV/atom
calculated formation energy: -38 meV/atom
distance to the lowest polymorph of the same formula: 225 meV per atom

Lattice parameters (Å, degrees): 5.0231 5.0231 5.0231 60.00 60.00 60.00
Closest atoms and distances in Å follow each position.
Sites, in units of the cell vectors:
Mg 0.5000 0.5000 0.5000  4 Cd 3.08
Pm 0.0000 0.0000 0.0000  4 Cd 3.08
Cd 0.2500 0.2500 0.2500  4 Mg 3.08, 4 Pm 3.08



Record 6
The following is a PBE calculation of a relaxed structure of Fe2AgIr, from Alexandria.

Values from the calculation:
VASP energy: -6.838 eV/atom
calculated formation energy: 321 meV/atom

Lattice parameters (Å, degrees): 4.6307 4.6307 4.7848 80.22 80.22 34.58
Closest atoms and distances in Å follow each position.
Sites, in units of the cell vectors:
Fe 0.4952 0.4952 0.5154  3 Ir 2.64-2.69, 6 Fe 2.65-2.88, 3 Ag 2.70-2.75
Fe 0.0048 0.0048 0.9846  3 Ir 2.64-2.69, 6 Fe 2.65-2.88, 3 Ag 2.70-2.75
Ir 0.7500 0.7500 0.7500  6 Fe 2.64-2.69, 2 Ir 2.75, 4 Ag 2.76
Ag 0.2500 0.2500 0.2500  6 Fe 2.70-2.75, 2 Ag 2.75, 4 Ir 2.76



Record 7
The following is a PBE calculation of a relaxed structure of Nd2Dy4Al, from Alexandria.

Values from the calculation:
VASP energy: -4.553 eV/atom
calculated formation energy: -26 meV/atom

Lattice parameters (Å, degrees): 3.6174 3.6174 19.3566 84.64 84.64 60.00
Closest atoms and distances in Å follow each position.
Sites, in units of the cell vectors:
Dy 0.2946 0.2946 0.1163  3 Al 3.06
Dy 0.0891 0.0891 0.7326  9 Dy 3.58-3.62, 3 Nd 3.58
Dy 0.7054 0.7054 0.8837  3 Al 3.06
Dy 0.9109 0.9109 0.2674  9 Dy 3.58-3.62, 3 Nd 3.58
Nd 0.8062 0.8062 0.5813  3 Dy 3.58, 9 Nd 3.62-3.76
Nd 0.1938 0.1938 0.4187  3 Dy 3.58, 9 Nd 3.62-3.76
Al 0.0000 0.0000 0.0000  6 Dy 3.06



Record 8
The following is a PBE calculation of a relaxed structure of NbCo4Rh, from Alexandria.

Values from the calculation:
VASP energy: -7.797 eV/atom
calculated formation energy: -156 meV/atom

Lattice parameters (Å, degrees): 4.7355 4.7355 4.7355 60.00 60.00 60.00
Closest atoms and distances in Å follow each position.
Sites, in units of the cell vectors:
Nb 0.2500 0.2500 0.2500  12 Co 2.78, 4 Rh 2.90
Co 0.6255 0.6255 0.1234  6 Co 2.36-2.38
Co 0.1234 0.6255 0.6255  6 Co 2.36-2.38
Co 0.6255 0.1234 0.6255  6 Co 2.36-2.38
Co 0.6255 0.6255 0.6255  6 Co 2.36-2.38
Rh 0.0000 0.0000 0.0000  12 Co 2.78, 4 Nb 2.90



Record 9
The following is a PBE calculation of a relaxed structure of PmPaRu2, from Alexandria.

Values from the calculation:
VASP energy: -8.399 eV/atom
calculated formation energy: -199 meV/atom
distance to the lowest polymorph of the same formula: 280 meV per atom

Lattice parameters (Å, degrees): 3.5459 3.5459 8.2930 77.66 77.66 60.00
Closest atoms and distances in Å follow each position.
Sites, in units of the cell vectors:
Ru 0.7386 0.7386 0.7841  3 Pa 2.68
Ru 0.2614 0.2614 0.2159  3 Pa 2.68
Pa 0.0000 0.0000 0.0000  6 Ru 2.68
Pm 0.5000 0.5000 0.5000  6 Ru 3.07



Record 10
The following is a PBE calculation of a relaxed structure of Pm5Hg3Pt12, from Alexandria.

Values from the calculation:
VASP energy: -4.943 eV/atom
calculated formation energy: -86 meV/atom

Lattice parameters (Å, degrees): 13.9317 13.9317 13.9317 109.47 109.47 109.47
Closest atoms and distances in Å follow each position.
Sites, in units of the cell vectors:
Pt 0.8441 0.9185 0.2671  1 Pt 2.68, 2 Pm 2.78-2.82, 2 Hg 2.79-2.87
Pt 0.6559 0.4230 0.5744  1 Pt 2.68, 2 Pm 2.78-2.82, 2 Hg 2.79-2.87
Pt 0.1515 0.7329 0.5770  1 Pt 2.68, 2 Pm 2.78-2.82, 2 Hg 2.79-2.87
Pt 0.8485 0.5815 0.9256  1 Pt 2.68, 2 Pm 2.78-2.82, 2 Hg 2.79-2.87
Pt 0.3485 0.4256 0.0815  1 Pt 2.68, 2 Pm 2.78-2.82, 2 Hg 2.79-2.87
Pt 0.9185 0.8441 0.7671  1 Pt 2.68, 2 Pm 2.78-2.82, 2 Hg 2.79-2.87
Pt 0.0770 0.4256 0.8441  1 Pt 2.68, 2 Pm 2.78-2.82, 2 Hg 2.79-2.87
Pt 0.5815 0.7329 0.6559  1 Pt 2.68, 2 Pm 2.78-2.82, 2 Hg 2.79-2.87
Pt 0.6559 0.2329 0.5815  1 Pt 2.68, 2 Pm 2.78-2.82, 2 Hg 2.79-2.87
Pt 0.4185 0.1515 0.5744  1 Pt 2.68, 2 Pm 2.78-2.82, 2 Hg 2.79-2.87
Pt 0.7329 0.5815 0.1559  1 Pt 2.68, 2 Pm 2.78-2.82, 2 Hg 2.79-2.87
Pt 0.3441 0.7671 0.4185  1 Pt 2.68, 2 Pm 2.78-2.82, 2 Hg 2.79-2.87
Pt 0.0815 0.1559 0.2329  1 Pt 2.68, 2 Pm 2.78-2.82, 2 Hg 2.79-2.87
Pt 0.8485 0.2671 0.4230  1 Pt 2.68, 2 Pm 2.78-2.82, 2 Hg 2.79-2.87
Pt 0.5770 0.2329 0.1515  1 Pt 2.68, 2 Pm 2.78-2.82, 2 Hg 2.79-2.87
Pt 0.3441 0.5770 0.4256  1 Pt 2.68, 2 Pm 2.78-2.82, 2 Hg 2.79-2.87
Pt 0.7329 0.1515 0.0770  1 Pt 2.68, 2 Pm 2.78-2.82, 2 Hg 2.79-2.87
Pt 0.4256 0.0770 0.3441  1 Pt 2.68, 2 Pm 2.78-2.82, 2 Hg 2.79-2.87
Pt 0.0770 0.6515 0.7329  1 Pt 2.68, 2 Pm 2.78-2.82, 2 Hg 2.79-2.87
Pt 0.9230 0.5744 0.1559  1 Pt 2.68, 2 Pm 2.78-2.82, 2 Hg 2.79-2.87
Pt 0.5770 0.3441 0.9256  1 Pt 2.68, 2 Pm 2.78-2.82, 2 Hg 2.79-2.87
Pt 0.1559 0.0815 0.7329  1 Pt 2.68, 2 Pm 2.78-2.82, 2 Hg 2.79-2.87
Pt 0.2329 0.5770 0.6515  1 Pt 2.68, 2 Pm 2.78-2.82, 2 Hg 2.79-2.87
Pt 0.4185 0.2671 0.3441  1 Pt 2.68, 2 Pm 2.78-2.82, 2 Hg 2.79-2.87
Pt 0.7671 0.3441 0.9185  1 Pt 2.68, 2 Pm 2.78-2.82, 2 Hg 2.79-2.87
Pt 0.9256 0.0815 0.8485  1 Pt 2.68, 2 Pm 2.78-2.82, 2 Hg 2.79-2.87
Pt 0.1515 0.4185 0.0744  1 Pt 2.68, 2 Pm 2.78-2.82, 2 Hg 2.79-2.87
Pt 0.1559 0.0744 0.9230  1 Pt 2.68, 2 Pm 2.78-2.82, 2 Hg 2.79-2.87
Pt 0.9256 0.8441 0.5770  1 Pt 2.68, 2 Pm 2.78-2.82, 2 Hg 2.79-2.87
Pt 0.4230 0.7671 0.8485  1 Pt 2.68, 2 Pm 2.78-2.82, 2 Hg 2.79-2.87
Pt 0.6515 0.0770 0.2329  1 Pt 2.68, 2 Pm 2.78-2.82, 2 Hg 2.79-2.87
Pt 0.2671 0.4185 0.8441  1 Pt 2.68, 2 Pm 2.78-2.82, 2 Hg 2.79-2.87
Pt 0.0815 0.9256 0.3485  1 Pt 2.68, 2 Pm 2.78-2.82, 2 Hg 2.79-2.87
Pt 0.6515 0.5744 0.9185  1 Pt 2.68, 2 Pm 2.78-2.82, 2 Hg 2.79-2.87
Pt 0.5815 0.8485 0.4256  1 Pt 2.68, 2 Pm 2.78-2.82, 2 Hg 2.79-2.87
Pt 0.5744 0.6515 0.4185  1 Pt 2.68, 2 Pm 2.78-2.82, 2 Hg 2.79-2.87
Pt 0.2329 0.6559 0.0815  1 Pt 2.68, 2 Pm 2.78-2.82, 2 Hg 2.79-2.87
Pt 0.7671 0.4230 0.3485  1 Pt 2.68, 2 Pm 2.78-2.82, 2 Hg 2.79-2.87
Pt 0.5744 0.9230 0.6559  1 Pt 2.68, 2 Pm 2.78-2.82, 2 Hg 2.79-2.87
Pt 0.4230 0.6559 0.0744  1 Pt 2.68, 2 Pm 2.78-2.82, 2 Hg 2.79-2.87
Pt 0.9185 0.0744 0.6515  1 Pt 2.68, 2 Pm 2.78-2.82, 2 Hg 2.79-2.87
Pt 0.9230 0.3485 0.2671  1 Pt 2.68, 2 Pm 2.78-2.82, 2 Hg 2.79-2.87
Pt 0.0744 0.9185 0.1515  1 Pt 2.68, 2 Pm 2.78-2.82, 2 Hg 2.79-2.87
Pt 0.3485 0.9230 0.7671  1 Pt 2.68, 2 Pm 2.78-2.82, 2 Hg 2.79-2.87
Pt 0.8441 0.9256 0.0770  1 Pt 2.68, 2 Pm 2.78-2.82, 2 Hg 2.79-2.87
Pt 0.4256 0.3485 0.5815  1 Pt 2.68, 2 Pm 2.78-2.82, 2 Hg 2.79-2.87
Pt 0.2671 0.8485 0.9230  1 Pt 2.68, 2 Pm 2.78-2.82, 2 Hg 2.79-2.87
Pt 0.0744 0.1559 0.4230  1 Pt 2.68, 2 Pm 2.78-2.82, 2 Hg 2.79-2.87
Pm 0.5000 0.5000 0.5000  6 Pt 2.78
Pm 0.6250 0.7500 0.8750  4 Pt 2.82
Pm 0.0000 0.5000 0.5000  6 Pt 2.78
Pm 0.0000 0.0000 0.5000  6 Pt 2.78
Pm 0.3750 0.1250 0.7500  4 Pt 2.82
Pm 0.5000 0.0000 0.5000  6 Pt 2.78
Pm 0.7500 0.6250 0.3750  4 Pt 2.82
Pm 0.7500 0.1250 0.8750  4 Pt 2.82
Pm 0.2500 0.8750 0.1250  4 Pt 2.82
Pm 0.2500 0.3750 0.6250  4 Pt 2.82
Pm 0.0000 0.5000 0.0000  6 Pt 2.78
Pm 0.8750 0.6250 0.7500  4 Pt 2.82
Pm 0.3750 0.2500 0.1250  4 Pt 2.82
Pm 0.1250 0.3750 0.2500  4 Pt 2.82
Pm 0.1250 0.7500 0.3750  4 Pt 2.82
Pm 0.5000 0.5000 0.0000  6 Pt 2.78
Pm 0.0000 0.0000 0.0000  6 Pt 2.78
Pm 0.6250 0.8750 0.2500  4 Pt 2.82
Pm 0.8750 0.2500 0.6250  4 Pt 2.82
Pm 0.5000 0.0000 0.0000  6 Pt 2.78
Hg 0.8750 0.1250 0.2500  8 Pt 2.79-2.87
Hg 0.8750 0.7500 0.1250  8 Pt 2.79-2.87
Hg 0.1250 0.8750 0.7500  8 Pt 2.79-2.87
Hg 0.7500 0.8750 0.6250  8 Pt 2.79-2.87
Hg 0.2500 0.1250 0.3750  8 Pt 2.79-2.87
Hg 0.3750 0.7500 0.6250  8 Pt 2.79-2.87
Hg 0.3750 0.6250 0.2500  8 Pt 2.79-2.87
Hg 0.6250 0.2500 0.3750  8 Pt 2.79-2.87
Hg 0.7500 0.3750 0.1250  8 Pt 2.79-2.87
Hg 0.1250 0.2500 0.8750  8 Pt 2.79-2.87
Hg 0.6250 0.3750 0.7500  8 Pt 2.79-2.87
Hg 0.2500 0.6250 0.8750  8 Pt 2.79-2.87